*w*
Density functional theory data (PBE) for a geometry-optimized H3SeBr structure.

Summary:
Density of states at the Fermi level   0.00 states/eV/f.u.
Crystal system   trigonal
Size of the total moment   0.00 Bohr magnetons per cell
Symmetry   R3m, No. 160

Lattice parameters (Å, degrees): 8.499 8.499 8.499 37.56 37.56 37.56
Element x y z (fractional)
H (0.922, 0.332, 0.922)
H (0.922, 0.922, 0.332)
H (0.422, 0.422, 0.832)
H (0.332, 0.922, 0.922)
H (0.422, 0.832, 0.422)
H (0.832, 0.422, 0.422)
Se (0.022, 0.022, 0.022)
Se (0.522, 0.522, 0.522)
Br (0.773, 0.773, 0.773)
Br (0.273, 0.273, 0.273)

---

*x*
Density functional theory data (PBE) for a geometry-optimized H3SeBr structure.

Summary:
Density of states at the Fermi level   0.84 states/eV/f.u.
Crystal system   cubic
Size of the total moment   0.00 Bohr magnetons per cell
Symmetry   Pm-3m, No. 221

Lattice parameters (Å, degrees): 3.811 3.811 3.811 90.00 90.00 90.00
Element x y z (fractional)
Se (0.000, 0.000, 0.000)
Br (0.500, 0.500, 0.500)
H (0.000, 0.500, 0.000)
H (0.500, 0.000, 0.000)
H (0.000, 0.000, 0.500)

---

Most favorable structure: *w*. The second most favorable one is 0.642 eV/atom above it.

---

*w*
Density functional theory data (PBE) for a geometry-optimized H3SeBr structure.

Summary:
Density of states at the Fermi level   3.02 states/eV/f.u.
Crystal system   cubic
Size of the total moment   1.10 Bohr magnetons per cell
Symmetry   Pm-3m, No. 221

Lattice parameters (Å, degrees): 3.873 3.873 3.873 90.00 90.00 90.00
Last column: magnetic moment on the atom in μB.
Element x y z (fractional)
H (0.000, 0.000, 0.500)  0.00
H (0.000, 0.500, 0.000)  -0.01
H (0.500, 0.000, 0.000)  0.00
Se (0.500, 0.500, 0.500)  0.65
Br (0.000, 0.000, 0.000)  0.07

---

*x*
Density functional theory data (PBE) for a geometry-optimized H3SeBr structure.

Summary:
Density of states at the Fermi level   0.00 states/eV/f.u.
Crystal system   orthorhombic
Size of the total moment   0.00 Bohr magnetons per cell
Symmetry   Pnma, No. 62

Lattice parameters (Å, degrees): 6.592 6.377 9.096 90.00 90.00 90.00
Element x y z (fractional)
Br (0.500, 0.500, 0.500)
Br (0.000, 0.000, 0.000)
Br (0.000, 0.000, 0.500)
Br (0.500, 0.500, 0.000)
Se (0.019, 0.435, 0.750)
Se (0.481, 0.935, 0.750)
Se (0.981, 0.565, 0.250)
Se (0.519, 0.065, 0.250)
H (0.707, 0.945, 0.750)
H (0.293, 0.055, 0.250)
H (0.515, 0.244, 0.129)
H (0.207, 0.555, 0.250)
H (0.515, 0.244, 0.371)
H (0.985, 0.744, 0.371)
H (0.015, 0.256, 0.871)
H (0.015, 0.256, 0.629)
H (0.985, 0.744, 0.129)
H (0.485, 0.756, 0.629)
H (0.485, 0.756, 0.871)
H (0.793, 0.445, 0.750)

---

Most favorable structure: *x*. The second most favorable one is 1.166 eV/atom above it.